Below is a relaxed structure of Na3PdF7, with properties calculated at the PBE level.

## Properties
As for the uncorrected formation energy: -1.988 eV per atom. As for the space group: Cm. The calculation puts the total energy at -4.01 eV per atom.

a = 5.530 Å, b = 5.530 Å, c = 5.944 Å
α = 66.94°, β = 66.94°, γ = 91.65°
Last column: magnetic moment on the atom in μB.
Fractional positions:
Na 0.772 0.245 0.481  0.00
Na 0.489 0.489 0.936  0.00
Na 0.245 0.772 0.481  0.00
Pd 0.955 0.955 0.039  1.01
F 0.116 0.116 0.202  -0.01
F 0.630 0.128 0.183  0.17
F 0.006 0.330 0.719  0.20
F 0.128 0.630 0.183  0.17
F 0.647 0.647 0.449  0.17
F 0.330 0.006 0.719  0.20
F 0.808 0.808 0.858  -0.01